Computed, not measured: a relaxed structure of Li2Dy3Cd6 at the PBE level of DFT.

Values from the calculation:
For the formation energy, the calculation gives -0.16 eV/atom.

Geometry as CIF:
```
data_Li2Dy3Cd6
_chemical_formula_sum 'Li4 Dy6 Cd12'
_space_group_name_H-M_alt 'I 4/m m m'
_space_group_IT_number 139
_space_group_name_Hall '-I 4 2'
_cell_length_a 4.415
_cell_length_b 4.415
_cell_length_c 26.752
_cell_angle_alpha 90.00
_cell_angle_beta 90.00
_cell_angle_gamma 90.00
loop_
_atom_site_label
_atom_site_type_symbol
_atom_site_fract_x
_atom_site_fract_y
_atom_site_fract_z
_atom_site_occupancy
Li1 Li 0.000 0.000 0.045 1
Dy1 Dy 0.000 0.000 0.296 1
Dy2 Dy 0.000 0.000 0.500 1
Cd1 Cd 0.000 0.000 0.179 1
Cd2 Cd 0.000 0.500 0.101 1
```



Computed, not measured: a relaxed structure of LiDy2Cd at the PBE level of DFT.

Values from the calculation:
For the formation energy, the calculation gives -0.11 eV/atom. The value obtained for the offset from the most stable computed form is 5 meV per atom.

Geometry as CIF:
```
data_LiDy2Cd
_chemical_formula_sum 'Li4 Dy8 Cd4'
_space_group_name_H-M_alt 'F m -3 m'
_space_group_IT_number 225
_space_group_name_Hall '-F 4 2 3'
_cell_length_a 7.433
_cell_length_b 7.433
_cell_length_c 7.433
_cell_angle_alpha 90.00
_cell_angle_beta 90.00
_cell_angle_gamma 90.00
loop_
_atom_site_label
_atom_site_type_symbol
_atom_site_fract_x
_atom_site_fract_y
_atom_site_fract_z
_atom_site_occupancy
Li1 Li 0.000 0.000 0.000 1
Dy1 Dy 0.250 0.250 0.250 1
Cd1 Cd 0.000 0.000 0.500 1
```



Computed, not measured: a relaxed structure of LiDy3Cd12 at the PBE level of DFT.

Values from the calculation:
For the formation energy, the calculation gives -0.23 eV/atom.

Geometry as CIF:
```
data_LiDy3Cd12
_chemical_formula_sum 'Li1 Dy3 Cd12'
_space_group_name_H-M_alt 'P 4/m m m'
_space_group_IT_number 123
_space_group_name_Hall '-P 4 2'
_cell_length_a 4.550
_cell_length_b 4.550
_cell_length_c 17.979
_cell_angle_alpha 90.00
_cell_angle_beta 90.00
_cell_angle_gamma 90.00
loop_
_atom_site_label
_atom_site_type_symbol
_atom_site_fract_x
_atom_site_fract_y
_atom_site_fract_z
_atom_site_occupancy
Li1 Li 0.000 0.000 0.000 1
Dy1 Dy 0.000 0.000 0.239 1
Dy2 Dy 0.000 0.000 0.500 1
Cd1 Cd 0.000 0.500 0.113 1
Cd2 Cd 0.000 0.500 0.370 1
Cd3 Cd 0.500 0.500 0.000 1
Cd4 Cd 0.500 0.500 0.237 1
Cd5 Cd 0.500 0.500 0.500 1
```